The following is a GGA-PBE calculation of crystalline PuZnCo2 at its relaxed geometry, from Alexandria.

Output
For the calculated volume, the calculation gives 14.70 A^3/atom. Its crystal system is tetragonal. Its formation enthalpy at 0 K is 1.1 kcal/mol of atoms. The density of states at the Fermi level comes out at 1.882 states/eV/atom.

abc: 3.364 4.180 4.180
angles: 90.00 90.00 90.00
Last column: magnetic moment on the atom in μB.
Sites, in units of the cell vectors:
Co1 0.000 0.000 0.500  -0.36
Co2 0.000 0.500 0.000  -0.36
Zn1 0.500 0.500 0.500  0.03
Pu1 0.500 0.000 0.000  4.71

=====

The following is a GGA-PBE calculation of crystalline HoCoSi2Ir at its relaxed geometry, from Alexandria.

Output
For the calculated volume, the calculation gives 15.63 A^3/atom. Its crystal system is tetragonal. The calculation puts the raw total energy at -36.156 eV/f.u. The density of states at the Fermi level comes out at 0.399 states/eV/atom.

abc: 3.969 3.969 5.701
angles: 110.37 110.37 90.00
Sites, in units of the cell vectors:
Si1 0.623 0.623 0.246
Si2 0.377 0.377 0.754
Ho1 0.000 0.000 0.000
Ir1 0.750 0.250 0.500
Co1 0.250 0.750 0.500

=====

The following is a GGA-PBE calculation of crystalline TcSbCl2 at its relaxed geometry, from Alexandria.

Output
For the calculated volume, the calculation gives 27.76 A^3/atom. Its crystal system is orthorhombic. The density of states at the Fermi level comes out at 0.629 states/eV/atom. The energy above the most stable polymorph in this dataset comes out at 0.27 eV/f.u.

abc: 3.171 7.148 7.146
angles: 43.29 90.00 90.00
Sites, in units of the cell vectors:
Cl1 0.000 0.611 0.611
Cl2 0.000 0.889 0.889
Tc1 0.500 0.750 0.750
Sb1 0.500 0.250 0.250

=====

The following is a GGA-PBE calculation of crystalline ZrFe2Os2 at its relaxed geometry, from Alexandria.

Output
For the calculated volume, the calculation gives 16.10 A^3/atom. Its crystal system is tetragonal. Its formation enthalpy at 0 K is 2.5 kcal/mol of atoms. The density of states at the Fermi level comes out at 1.169 states/eV/atom. The energy above the most stable polymorph in this dataset comes out at 0.49 eV/f.u.

abc: 3.959 3.959 5.850
angles: 70.22 70.22 90.00
Last column: magnetic moment on the atom in μB.
Sites, in units of the cell vectors:
Zr1 0.000 0.000 0.000  -0.03
Os1 0.385 0.385 0.230  -0.04
Fe1 0.750 0.250 0.500  1.85
Os2 0.615 0.615 0.770  -0.04
Fe2 0.250 0.750 0.500  1.85

=====

The following is a GGA-PBE calculation of crystalline ZrTaGa at its relaxed geometry, from Alexandria.

Output
For the calculated volume, the calculation gives 19.25 A^3/atom. Its crystal system is trigonal. Its formation enthalpy at 0 K is 0.8 kcal/mol of atoms. The density of states at the Fermi level comes out at 1.367 states/eV/atom. The energy above the most stable polymorph in this dataset comes out at 1.28 eV/f.u.

abc: 2.914 4.784 4.784
angles: 120.00 90.00 90.00
Last column: magnetic moment on the atom in μB.
Sites, in units of the cell vectors:
Ta1 0.243 0.333 0.667  0.25
Ga1 0.083 0.000 0.000  0.01
Zr1 0.674 0.667 0.333  0.41

=====

The following is a GGA-PBE calculation of crystalline BSbIr2 at its relaxed geometry, from Alexandria.

Output
For the calculated volume, the calculation gives 18.24 A^3/atom. Its crystal system is tetragonal. The density of states at the Fermi level comes out at 0.423 states/eV/atom. The energy above the most stable polymorph in this dataset comes out at 0.00 eV/f.u.

abc: 5.241 5.241 6.478
angles: 66.14 66.14 90.00
Sites, in units of the cell vectors:
Sb1 0.000 0.000 0.000
B1 0.250 0.750 0.500
B2 0.500 0.500 0.000
Ir1 0.535 0.125 0.250
Ir2 0.215 0.625 0.250
Ir3 0.375 0.465 0.750
Sb2 0.750 0.250 0.500
Ir4 0.875 0.785 0.750

=====

The following is a GGA-PBE calculation of crystalline CsNd2NpS5 at its relaxed geometry, from Alexandria.

Output
For the calculated volume, the calculation gives 28.90 A^3/atom. Its crystal system is orthorhombic. The calculation puts the raw total energy at -59.056 eV/f.u. The density of states at the Fermi level comes out at 1.128 states/eV/atom.

abc: 5.063 7.333 8.303
angles: 116.20 107.75 90.00
Last column: magnetic moment on the atom in μB.
Sites, in units of the cell vectors:
Cs1 0.000 0.500 0.000  0.00
S1 0.346 0.076 0.692  -0.03
S2 0.654 0.384 0.308  -0.03
S3 0.000 0.000 0.000  -0.08
Nd1 0.793 0.793 0.585  0.07
Np1 0.500 0.000 0.000  3.67
Nd2 0.207 0.207 0.415  0.07
S4 0.346 0.616 0.692  -0.03
S5 0.654 0.924 0.308  -0.03

=====

The following is a GGA-PBE calculation of crystalline CaFe2Os at its relaxed geometry, from Alexandria.

Output
For the calculated volume, the calculation gives 18.93 A^3/atom. Its crystal system is monoclinic. Its formation enthalpy at 0 K is 7.3 kcal/mol of atoms. The density of states at the Fermi level comes out at 1.346 states/eV/atom. The energy above the most stable polymorph in this dataset comes out at 0.00 eV/f.u.

abc: 4.183 4.183 5.551
angles: 67.79 67.79 60.03
Last column: magnetic moment on the atom in μB.
Sites, in units of the cell vectors:
Fe1 0.054 0.054 0.838  2.44
Os1 0.750 0.750 0.750  0.51
Ca1 0.250 0.250 0.250  -0.03
Fe2 0.446 0.446 0.662  2.44

=====

The following is a GGA-PBE calculation of crystalline ScReAu2 at its relaxed geometry, from Alexandria.

Output
For the calculated volume, the calculation gives 17.88 A^3/atom. Its crystal system is cubic. Its formation enthalpy at 0 K is 2.7 kcal/mol of atoms. The density of states at the Fermi level comes out at 1.140 states/eV/atom. The energy above the most stable polymorph in this dataset comes out at 0.68 eV/f.u.

abc: 4.659 4.659 4.659
angles: 60.00 60.00 60.00
Last column: magnetic moment on the atom in μB.
Sites, in units of the cell vectors:
Au1 0.750 0.750 0.750  0.05
Re1 0.500 0.500 0.500  1.09
Sc1 0.000 0.000 0.000  -0.02
Au2 0.250 0.250 0.250  0.05

=====

The following is a GGA-PBE calculation of crystalline Zn3Hg12Ge5 at its relaxed geometry, from Alexandria.

Output
For the calculated volume, the calculation gives 26.27 A^3/atom. Its crystal system is cubic. Its formation enthalpy at 0 K is 5.9 kcal/mol of atoms. The density of states at the Fermi level comes out at 0.491 states/eV/atom.

abc: 13.976 13.976 13.976
angles: 109.47 109.47 109.47
Sites, in units of the cell vectors:
Hg1 0.733 0.126 0.059
Hg2 0.441 0.674 0.068
Hg3 0.059 0.626 0.733
Zn1 0.875 0.750 0.125
Hg4 0.626 0.059 0.233
Hg5 0.826 0.893 0.267
Ge1 0.000 0.000 0.500
Hg6 0.826 0.932 0.059
Zn2 0.375 0.750 0.625
Hg7 0.874 0.267 0.441
Hg8 0.126 0.733 0.559
Zn3 0.750 0.875 0.625
Ge2 0.250 0.875 0.125
Zn4 0.375 0.625 0.250
Zn5 0.250 0.625 0.875
Hg9 0.393 0.126 0.568
Zn6 0.125 0.875 0.750
Hg10 0.932 0.826 0.559
Hg11 0.374 0.432 0.107
Ge3 0.750 0.625 0.375
Zn7 0.125 0.250 0.875
Ge4 0.625 0.875 0.250
Ge5 0.625 0.750 0.875
Hg12 0.233 0.559 0.626
Hg13 0.893 0.068 0.626
Ge6 0.000 0.500 0.000
Ge7 0.500 0.000 0.500
Hg14 0.174 0.107 0.733
Ge8 0.250 0.375 0.625
Ge9 0.375 0.125 0.750
Hg15 0.174 0.068 0.941
Hg16 0.941 0.374 0.267
Ge10 0.125 0.375 0.250
Ge11 0.500 0.500 0.000
Hg17 0.267 0.393 0.826
Hg18 0.068 0.174 0.441
Zn8 0.750 0.375 0.125
Hg19 0.326 0.767 0.393
Zn9 0.250 0.125 0.375
Hg20 0.393 0.267 0.326
Ge12 0.500 0.500 0.500
Hg21 0.733 0.607 0.174
Hg22 0.107 0.174 0.233
Hg23 0.107 0.932 0.374
Hg24 0.233 0.674 0.107
Ge13 0.875 0.625 0.750
Hg25 0.874 0.607 0.932
Zn10 0.875 0.125 0.250
Ge14 0.000 0.000 0.000
Hg26 0.932 0.107 0.874
Hg27 0.374 0.941 0.767
Ge15 0.750 0.125 0.875
Hg28 0.432 0.059 0.326
Hg29 0.893 0.826 0.767
Hg30 0.607 0.874 0.432
Ge16 0.375 0.250 0.125
Hg31 0.126 0.393 0.068
Hg32 0.559 0.326 0.932
Hg33 0.267 0.874 0.941
Hg34 0.941 0.568 0.174
Zn11 0.625 0.375 0.750
Hg35 0.607 0.733 0.674
Hg36 0.432 0.374 0.607
Ge17 0.875 0.250 0.625
Hg37 0.068 0.893 0.126
Hg38 0.767 0.326 0.893
Ge18 0.500 0.000 0.000
Hg39 0.059 0.432 0.826
Ge19 0.000 0.500 0.500
Zn12 0.625 0.250 0.375
Hg40 0.674 0.441 0.568
Ge20 0.125 0.750 0.375
Hg41 0.326 0.559 0.432
Hg42 0.568 0.941 0.674
Hg43 0.441 0.767 0.874
Hg44 0.674 0.233 0.607
Hg45 0.626 0.568 0.893
Hg46 0.767 0.441 0.374
Hg47 0.559 0.233 0.126
Hg48 0.568 0.626 0.393

=====

The following is a GGA-PBE calculation of crystalline NaIn3Ga at its relaxed geometry, from Alexandria.

Output
For the calculated volume, the calculation gives 33.44 A^3/atom. Its crystal system is cubic. Its formation enthalpy at 0 K is 12.9 kcal/mol of atoms. The density of states at the Fermi level comes out at 0.472 states/eV/atom. The energy above the most stable polymorph in this dataset comes out at 3.11 eV/f.u.

abc: 5.509 5.509 5.509
angles: 90.00 90.00 90.00
Sites, in units of the cell vectors:
In1 0.000 0.500 0.000
Na1 0.000 0.000 0.000
In2 0.500 0.000 0.000
In3 0.000 0.000 0.500
Ga1 0.500 0.500 0.500

=====

The following is a GGA-PBE calculation of crystalline Al4As5 at its relaxed geometry, from Alexandria.

Output
For the calculated volume, the calculation gives 19.25 A^3/atom. Its crystal system is hexagonal. Its formation enthalpy at 0 K is 2.3 kcal/mol of atoms. The density of states at the Fermi level comes out at 0.612 states/eV/atom. The energy above the most stable polymorph in this dataset comes out at 0.00 eV/f.u.

abc: 7.532 7.532 7.052
angles: 90.00 90.00 120.00
Sites, in units of the cell vectors:
As1 0.750 0.000 0.250
As2 0.750 0.750 0.750
As3 0.000 0.250 0.750
Al1 0.000 0.584 0.750
As4 0.250 0.250 0.250
Al2 0.416 0.416 0.750
Al3 0.000 0.416 0.250
Al4 0.000 0.000 0.500
Al5 0.416 0.000 0.250
As5 0.250 0.000 0.750
As6 0.333 0.667 0.500
As7 0.667 0.333 0.000
Al6 0.000 0.000 0.000
Al7 0.584 0.584 0.250
As8 0.000 0.750 0.250
As9 0.667 0.333 0.500
As10 0.333 0.667 0.000
Al8 0.584 0.000 0.750

=====

Number 8 is which compound?
CaFe2Os